[1]
Compound: RbGa2I
Source: Alexandria via LeMat-Bulk
Functional: PBE
Structure: optimized geometry

It has space group Fm-3m (No. 225), with a = 8.197 Å, b = 8.197 Å, c = 8.197 Å, α = 90.00°, β = 90.00° and γ = 90.00°. Symmetry generates all atoms from Rb at (0.000, 0.000, 0.000), Ga at (0.250, 0.250, 0.250) and I at (0.000, 0.000, 0.500).

The raw formation energy comes out at 122 meV per atom. As for the density of states at the Fermi level: 3.22 states/eV/f.u. The polymorph energy (0 for the lowest one) comes out at 9.31 kcal/mol of atoms.

[2]
Compound: Rb2GaI7
Source: Alexandria via LeMat-Bulk
Functional: PBE
Structure: optimized geometry

It has space group I4/mmm (No. 139), with a = 8.577 Å, b = 8.577 Å, c = 12.538 Å, α = 90.00°, β = 90.00° and γ = 90.00°. Symmetry generates all atoms from Rb at (0.000, 0.500, 0.250), Ga at (0.000, 0.000, 0.000), I at (0.000, 0.000, 0.225), I at (0.000, 0.000, 0.500) and I at (0.235, 0.235, 0.000).

The raw formation energy comes out at -638 meV per atom. As for the density of states at the Fermi level: 3.73 states/eV/f.u.

[3]
Compound: RbGaI3
Source: Alexandria via LeMat-Bulk
Functional: PBE
Structure: optimized geometry

It has space group P1 (No. 1), with a = 5.966 Å, b = 9.645 Å, c = 9.696 Å, α = 63.10°, β = 89.37° and γ = 89.32°. Symmetry generates all atoms from Rb at (0.000, 0.000, 0.000), Rb at (0.395, 0.525, 0.523), Ga at (0.204, 0.385, 0.136), Ga at (0.225, 0.979, 0.538), I at (0.422, 0.634, 0.087), I at (0.456, 0.140, 0.204), I at (0.503, 0.107, 0.742), I at (0.892, 0.782, 0.418), I at (0.959, 0.304, 0.385) and I at (0.984, 0.444, 0.887).

The raw formation energy comes out at -838 meV per atom. As for the density of states at the Fermi level: 0.00 states/eV/f.u. The polymorph energy (0 for the lowest one) comes out at 2.29 kcal/mol of atoms.

[4]
Compound: Rb2GaReI6
Source: Alexandria via LeMat-Bulk
Functional: PBE
Structure: optimized geometry

It has space group Fm-3m (No. 225), with a = 11.805 Å, b = 11.805 Å, c = 11.805 Å, α = 90.00°, β = 90.00° and γ = 90.00°. Symmetry generates all atoms from Rb at (0.250, 0.250, 0.250), Ga at (0.000, 0.000, 0.000), Re at (0.000, 0.000, 0.500) and I at (0.000, 0.000, 0.266).

The raw formation energy comes out at -520 meV per atom. As for the density of states at the Fermi level: 8.73 states/eV/f.u.

[5]
Compound: Rb2GaRuI6
Source: Alexandria via LeMat-Bulk
Functional: PBE
Structure: optimized geometry

It has space group I4/mmm (No. 139), with a = 8.258 Å, b = 8.258 Å, c = 11.671 Å, α = 90.00°, β = 90.00° and γ = 90.00°. Symmetry generates all atoms from Rb at (0.000, 0.500, 0.250), Ga at (0.000, 0.000, 0.000), Ru at (0.000, 0.000, 0.500), I at (0.000, 0.000, 0.266) and I at (0.234, 0.234, 0.500).

The raw formation energy comes out at -635 meV per atom. As for the density of states at the Fermi level: 10.35 states/eV/f.u.

[6]
Compound: Rb2GaSI6
Source: Alexandria via LeMat-Bulk
Functional: PBE
Structure: optimized geometry

It has space group I4/mmm (No. 139), with a = 8.317 Å, b = 8.317 Å, c = 11.679 Å, α = 90.00°, β = 90.00° and γ = 90.00°. Symmetry generates all atoms from Rb at (0.000, 0.500, 0.250), Ga at (0.000, 0.000, 0.000), S at (0.000, 0.000, 0.500), I at (0.000, 0.000, 0.270) and I at (0.237, 0.237, 0.000).

The raw formation energy comes out at -605 meV per atom. As for the density of states at the Fermi level: 4.12 states/eV/f.u.

- Look up the raw formation energy of the third one.
  -838 meV per atom